# 1
## Sr2RuPt (GGA-PBEsol)

Data for a relaxed structure of Sr2RuPt.

Cell lengths 4.517, 5.655, 5.655 Å; angles 49.16, 90.00, 90.00 degrees
Fractional positions:
Sr: 0.000 0.000 0.000
Sr: 0.500 0.293 0.293
Ru: 0.500 0.610 0.610
Pt: 0.000 0.691 0.691

Values from the calculation:
Spin magnetization: 0.00 μB per cell
Energy of formation from the pure elements: -0.094 eV per atom
Space-group type: Amm2
DOS(E_F): 2.41 states/eV per cell

# 2
## SrRuPt2 (GGA-PBEsol)

Data for a relaxed structure of SrRuPt2.

Cell lengths 2.818, 3.967, 6.582 Å; angles 90.00, 90.00, 90.00 degrees
Fractional positions:
Sr: 0.000 0.000 0.000
Ru: 0.500 0.500 0.673
Pt: 0.000 0.000 0.523
Pt: 0.500 0.500 0.283

Values from the calculation:
Spin magnetization: 0.34 μB per cell
Energy of formation from the pure elements: 0.143 eV per atom
Space-group type: Pmm2
Energy above the most stable polymorph in this dataset: 82 meV per atom
DOS(E_F): 4.21 states/eV per cell

# 3
## Ta2RuPt (GGA-PBEsol)

Data for a relaxed structure of Ta2RuPt.

Cell lengths 2.832, 4.566, 4.931 Å; angles 90.00, 95.89, 90.00 degrees
Fractional positions:
Ta: 0.000 0.000 0.000
Ta: 0.178 0.500 0.632
Ru: 0.611 0.000 0.507
Pt: 0.571 0.500 0.150

Values from the calculation:
Spin magnetization: 0.00 μB per cell
Energy of formation from the pure elements: -0.412 eV per atom
Space-group type: Pm
DOS(E_F): 3.09 states/eV per cell

# 4
## TaRuPt2 (GGA-PBEsol)

Data for a relaxed structure of TaRuPt2.

Cell lengths 3.844, 3.844, 4.023 Å; angles 90.00, 90.00, 90.00 degrees
Fractional positions:
Ta: 0.000 0.000 0.000
Ru: 0.500 0.500 0.000
Pt: 0.000 0.500 0.500
Pt: 0.500 0.000 0.500

Values from the calculation:
Spin magnetization: 0.00 μB per cell
Energy of formation from the pure elements: -0.610 eV per atom
Space-group type: P4/mmm
Energy above the most stable polymorph in this dataset: 0 meV per atom
DOS(E_F): 2.37 states/eV per cell

# 5
## Ta2RuPt (GGA-PBEsol)

Data for a relaxed structure of Ta2RuPt.

Cell lengths 4.783, 4.783, 2.863 Å; angles 90.00, 90.00, 106.91 degrees
Fractional positions:
Ta: 0.000 0.500 0.000
Ta: 0.500 0.000 0.000
Ru: 0.000 0.000 0.500
Pt: 0.500 0.500 0.500

Values from the calculation:
Spin magnetization: 0.00 μB per cell
Energy of formation from the pure elements: -0.430 eV per atom
Space-group type: Cmmm
DOS(E_F): 3.22 states/eV per cell

# 6
## TaRuPt3 (GGA-PBEsol)

Data for a relaxed structure of TaRuPt3.

Cell lengths 4.739, 4.739, 4.739 Å; angles 90.00, 90.00, 90.00 degrees
Fractional positions:
Ta: 0.000 0.000 0.000
Ru: 0.500 0.500 0.500
Pt: 0.000 0.000 0.500
Pt: 0.000 0.500 0.000
Pt: 0.500 0.000 0.000

Values from the calculation:
Spin magnetization: 2.14 μB per cell
Energy of formation from the pure elements: 1.614 eV per atom
Space-group type: Pm-3m
DOS(E_F): 5.31 states/eV per cell

# 7
## TaRu2Pt (GGA-PBEsol)

Data for a relaxed structure of TaRu2Pt.

Cell lengths 3.893, 3.893, 3.830 Å; angles 90.00, 90.00, 90.00 degrees
Fractional positions:
Ta: 0.000 0.000 0.000
Ru: 0.000 0.500 0.500
Ru: 0.500 0.000 0.500
Pt: 0.500 0.500 0.000

Values from the calculation:
Spin magnetization: 0.00 μB per cell
Energy of formation from the pure elements: -0.459 eV per atom
Space-group type: P4/mmm
Energy above the most stable polymorph in this dataset: 0 meV per atom
DOS(E_F): 3.62 states/eV per cell

# 8
## Ta2RuPt (GGA-PBEsol)

Data for a relaxed structure of Ta2RuPt.

Cell lengths 4.461, 4.461, 4.461 Å; angles 60.00, 60.00, 60.00 degrees
Fractional positions:
Ta: 0.000 0.000 0.000
Ta: 0.250 0.250 0.250
Ru: 0.750 0.750 0.750
Pt: 0.500 0.500 0.500

Values from the calculation:
Spin magnetization: 0.00 μB per cell
Energy of formation from the pure elements: -0.192 eV per atom
Space-group type: F-43m
DOS(E_F): 2.28 states/eV per cell

# 9
## TaRu2Pt (GGA-PBEsol)

Data for a relaxed structure of TaRu2Pt.

Cell lengths 2.750, 2.750, 7.810 Å; angles 90.00, 90.00, 90.00 degrees
Fractional positions:
Ta: 0.000 0.000 0.000
Ru: 0.500 0.500 0.255
Ru: 0.500 0.500 0.745
Pt: 0.000 0.000 0.500

Values from the calculation:
Spin magnetization: 0.00 μB per cell
Energy of formation from the pure elements: -0.037 eV per atom
Space-group type: P4/mmm
Energy above the most stable polymorph in this dataset: 422 meV per atom
DOS(E_F): 4.17 states/eV per cell

# 10
## TaRuPt2 (GGA-PBEsol)

Data for a relaxed structure of TaRuPt2.

Cell lengths 9.196, 9.196, 9.196 Å; angles 17.34, 17.34, 17.34 degrees
Fractional positions:
Ta: 0.000 0.000 0.000
Ru: 0.500 0.500 0.500
Pt: 0.248 0.248 0.248
Pt: 0.752 0.752 0.752

Values from the calculation:
Spin magnetization: 0.00 μB per cell
Energy of formation from the pure elements: -0.126 eV per atom
Space-group type: R-3m
Energy above the most stable polymorph in this dataset: 485 meV per atom
DOS(E_F): 3.80 states/eV per cell

# 11
## TaRu3Pt (GGA-PBEsol)

Data for a relaxed structure of TaRu3Pt.

Cell lengths 4.575, 4.575, 4.575 Å; angles 90.00, 90.00, 90.00 degrees
Fractional positions:
Ta: 0.000 0.000 0.000
Ru: 0.000 0.000 0.500
Ru: 0.000 0.500 0.000
Ru: 0.500 0.000 0.000
Pt: 0.500 0.500 0.500

Values from the calculation:
Spin magnetization: 3.15 μB per cell
Energy of formation from the pure elements: 1.850 eV per atom
Space-group type: Pm-3m
DOS(E_F): 6.34 states/eV per cell

# 12
## TaRuPt2 (GGA-PBEsol)

Data for a relaxed structure of TaRuPt2.

Cell lengths 9.229, 9.229, 9.229 Å; angles 17.30, 17.30, 17.30 degrees
Fractional positions:
Ta: 0.000 0.000 0.000
Ru: 0.750 0.750 0.750
Pt: 0.251 0.251 0.251
Pt: 0.497 0.497 0.497

Values from the calculation:
Spin magnetization: 0.00 μB per cell
Energy of formation from the pure elements: -0.113 eV per atom
Space-group type: R3m
Energy above the most stable polymorph in this dataset: 498 meV per atom
DOS(E_F): 4.76 states/eV per cell

# 13
## TaRu2Pt (GGA-PBEsol)

Data for a relaxed structure of TaRu2Pt.

Cell lengths 4.760, 4.760, 4.760 Å; angles 132.05, 132.05, 70.14 degrees
Fractional positions:
Ta: 0.000 0.000 0.000
Ru: 0.250 0.750 0.500
Ru: 0.500 0.500 0.000
Pt: 0.750 0.250 0.500

Values from the calculation:
Spin magnetization: 0.00 μB per cell
Energy of formation from the pure elements: -0.378 eV per atom
Space-group type: I-4m2
Energy above the most stable polymorph in this dataset: 81 meV per atom
DOS(E_F): 2.54 states/eV per cell

# 14
## Ta2RuPt (GGA-PBEsol)

Data for a relaxed structure of Ta2RuPt.

Cell lengths 2.859, 2.859, 7.682 Å; angles 90.00, 90.00, 90.00 degrees
Fractional positions:
Ta: 0.000 0.000 0.236
Ta: 0.000 0.000 0.764
Ru: 0.500 0.500 0.000
Pt: 0.500 0.500 0.500

Values from the calculation:
Spin magnetization: 0.00 μB per cell
Energy of formation from the pure elements: -0.431 eV per atom
Space-group type: P4/mmm
DOS(E_F): 2.74 states/eV per cell

# 15
## TaRuPt (GGA-PBEsol)

Data for a relaxed structure of TaRuPt.

Cell lengths 2.802, 2.802, 6.745 Å; angles 90.00, 90.00, 120.00 degrees
Fractional positions:
Ta: 0.000 0.000 0.000
Ru: 0.667 0.333 0.323
Pt: 0.333 0.667 0.664

Values from the calculation:
Spin magnetization: 0.00 μB per cell
Energy of formation from the pure elements: -0.101 eV per atom
Space-group type: P3m1
DOS(E_F): 3.70 states/eV per cell

# 16
## Ta2RuPt (GGA-PBEsol)

Data for a relaxed structure of Ta2RuPt.

Cell lengths 2.891, 3.807, 5.704 Å; angles 90.00, 90.00, 90.00 degrees
Fractional positions:
Ta: 0.000 0.000 0.243
Ta: 0.000 0.000 0.757
Ru: 0.500 0.500 0.000
Pt: 0.500 0.500 0.500

Values from the calculation:
Spin magnetization: 0.00 μB per cell
Energy of formation from the pure elements: -0.430 eV per atom
Space-group type: Pmmm
DOS(E_F): 3.62 states/eV per cell

# 17
## TaRuPt2 (GGA-PBEsol)

Data for a relaxed structure of TaRuPt2.

Cell lengths 4.862, 4.862, 4.862 Å; angles 133.39, 133.39, 68.05 degrees
Fractional positions:
Ta: 0.000 0.000 0.000
Ru: 0.500 0.500 0.000
Pt: 0.250 0.750 0.500
Pt: 0.750 0.250 0.500

Values from the calculation:
Spin magnetization: 0.00 μB per cell
Energy of formation from the pure elements: -0.532 eV per atom
Space-group type: I4/mmm
Energy above the most stable polymorph in this dataset: 79 meV per atom
DOS(E_F): 4.56 states/eV per cell

# 18
## Ta2RuPt (GGA-PBEsol)

Data for a relaxed structure of Ta2RuPt.

Cell lengths 4.784, 4.784, 4.784 Å; angles 130.07, 130.07, 73.30 degrees
Fractional positions:
Ta: 0.250 0.750 0.500
Ta: 0.750 0.250 0.500
Ru: 0.000 0.000 0.000
Pt: 0.500 0.500 0.000

Values from the calculation:
Spin magnetization: 0.00 μB per cell
Energy of formation from the pure elements: -0.481 eV per atom
Space-group type: I4/mmm
DOS(E_F): 2.58 states/eV per cell

# 19
## TcRuPt2 (GGA-PBEsol)

Data for a relaxed structure of TcRuPt2.

Cell lengths 4.703, 4.703, 4.703 Å; angles 131.72, 131.72, 70.66 degrees
Fractional positions:
Tc: 0.000 0.000 0.000
Ru: 0.250 0.750 0.500
Pt: 0.500 0.500 0.000
Pt: 0.750 0.250 0.500

Values from the calculation:
Spin magnetization: 0.00 μB per cell
Energy of formation from the pure elements: -0.071 eV per atom
Space-group type: I-4m2
Energy above the most stable polymorph in this dataset: 45 meV per atom
DOS(E_F): 5.13 states/eV per cell

# 20
## TcRuPt2 (GGA-PBEsol)

Data for a relaxed structure of TcRuPt2.

Cell lengths 2.707, 2.707, 7.774 Å; angles 90.00, 90.00, 90.00 degrees
Fractional positions:
Tc: 0.000 0.000 0.000
Ru: 0.500 0.500 0.774
Pt: 0.000 0.000 0.520
Pt: 0.500 0.500 0.251

Values from the calculation:
Spin magnetization: 0.00 μB per cell
Energy of formation from the pure elements: -0.116 eV per atom
Space-group type: P4mm
Energy above the most stable polymorph in this dataset: 0 meV per atom
DOS(E_F): 3.61 states/eV per cell

# 21
## TcRuPt2 (GGA-PBEsol)

Data for a relaxed structure of TcRuPt2.

Cell lengths 9.150, 9.150, 9.150 Å; angles 17.00, 17.00, 17.00 degrees
Fractional positions:
Tc: 0.000 0.000 0.000
Ru: 0.743 0.743 0.743
Pt: 0.250 0.250 0.250
Pt: 0.494 0.494 0.494

Values from the calculation:
Spin magnetization: 0.00 μB per cell
Energy of formation from the pure elements: -0.082 eV per atom
Space-group type: R3m
Energy above the most stable polymorph in this dataset: 35 meV per atom
DOS(E_F): 3.72 states/eV per cell

# 22
## TcRuPt2 (GGA-PBEsol)

Data for a relaxed structure of TcRuPt2.

Cell lengths 4.720, 4.720, 4.727 Å; angles 99.25, 99.25, 33.17 degrees
Fractional positions:
Tc: 0.000 0.000 0.000
Ru: 0.743 0.743 0.231
Pt: 0.250 0.250 0.746
Pt: 0.493 0.493 0.487

Values from the calculation:
Spin magnetization: 0.00 μB per cell
Energy of formation from the pure elements: -0.072 eV per atom
Space-group type: Cm
Energy above the most stable polymorph in this dataset: 44 meV per atom
DOS(E_F): 4.51 states/eV per cell

# 23
## TcRuPt2 (GGA-PBEsol)

Data for a relaxed structure of TcRuPt2.

Cell lengths 2.705, 3.827, 5.495 Å; angles 90.00, 90.00, 90.00 degrees
Fractional positions:
Tc: 0.000 0.000 0.000
Ru: 0.500 0.500 0.775
Pt: 0.000 0.000 0.518
Pt: 0.500 0.500 0.256

Values from the calculation:
Spin magnetization: 0.00 μB per cell
Energy of formation from the pure elements: -0.093 eV per atom
Space-group type: Pmm2
Energy above the most stable polymorph in this dataset: 23 meV per atom
DOS(E_F): 4.22 states/eV per cell

# 24
## TeRuPt2 (GGA-PBEsol)

Data for a relaxed structure of TeRuPt2.

Cell lengths 4.507, 4.507, 4.507 Å; angles 60.00, 60.00, 60.00 degrees
Fractional positions:
Te: 0.000 0.000 0.000
Ru: 0.250 0.250 0.250
Pt: 0.500 0.500 0.500
Pt: 0.750 0.750 0.750

Values from the calculation:
Spin magnetization: 0.41 μB per cell
Space-group type: F-43m
Formation energy from raw total energies: 0.24 eV per atom
DOS(E_F): 4.59 states/eV per cell

# 25
## Te3RuPt (GGA-PBEsol)

Data for a relaxed structure of Te3RuPt.

Cell lengths 5.020, 5.020, 5.020 Å; angles 90.00, 90.00, 90.00 degrees
Fractional positions:
Te: 0.000 0.000 0.500
Te: 0.000 0.500 0.000
Te: 0.500 0.000 0.000
Ru: 0.000 0.000 0.000
Pt: 0.500 0.500 0.500

Values from the calculation:
Spin magnetization: 0.00 μB per cell
Space-group type: Pm-3m
Formation energy from raw total energies: 0.93 eV per atom
DOS(E_F): 7.33 states/eV per cell

# 26
## Te2RuPt (GGA-PBEsol)

Data for a relaxed structure of Te2RuPt.

Cell lengths 4.726, 4.726, 3.315 Å; angles 90.00, 90.00, 90.00 degrees
Fractional positions:
Te: 0.000 0.500 0.000
Te: 0.500 0.000 0.000
Ru: 0.000 0.000 0.500
Pt: 0.500 0.500 0.500

Values from the calculation:
Spin magnetization: 0.00 μB per cell
Space-group type: P4/mmm
Energy above the most stable polymorph in this dataset: 280 meV per atom
Formation energy from raw total energies: 0.28 eV per atom
DOS(E_F): 3.45 states/eV per cell

# 27
## TeRuPt (GGA-PBEsol)

Data for a relaxed structure of TeRuPt.

Cell lengths 3.129, 3.129, 6.094 Å; angles 90.00, 90.00, 120.00 degrees
Fractional positions:
Te: 0.000 0.000 0.000
Ru: 0.667 0.333 0.312
Pt: 0.333 0.667 0.650

Values from the calculation:
Spin magnetization: 0.00 μB per cell
Space-group type: P3m1
Formation energy from raw total energies: 0.41 eV per atom
DOS(E_F): 3.47 states/eV per cell

# 28
## TeRuPt2 (GGA-PBEsol)

Data for a relaxed structure of TeRuPt2.

Cell lengths 3.384, 3.384, 5.712 Å; angles 90.00, 90.00, 90.00 degrees
Fractional positions:
Te: 0.000 0.000 0.000
Ru: 0.500 0.500 0.762
Pt: 0.000 0.000 0.516
Pt: 0.500 0.500 0.292

Values from the calculation:
Spin magnetization: 0.00 μB per cell
Space-group type: P4mm
Formation energy from raw total energies: 0.21 eV per atom
DOS(E_F): 3.62 states/eV per cell

# 29
## Te2RuPt (GGA-PBEsol)

Data for a relaxed structure of Te2RuPt.

Cell lengths 3.587, 3.587, 6.513 Å; angles 90.00, 90.00, 90.00 degrees
Fractional positions:
Te: 0.000 0.000 0.000
Te: 0.500 0.500 0.451
Ru: 0.500 0.500 0.845
Pt: 0.000 0.000 0.600

Values from the calculation:
Spin magnetization: 0.00 μB per cell
Space-group type: P4mm
Energy above the most stable polymorph in this dataset: 0 meV per atom
Formation energy from raw total energies: 0.00 eV per atom
DOS(E_F): 3.64 states/eV per cell

# 30
## Ti3RuPt (GGA-PBEsol)

Data for a relaxed structure of Ti3RuPt.

Cell lengths 4.642, 4.642, 4.642 Å; angles 90.00, 90.00, 90.00 degrees
Fractional positions:
Ti: 0.000 0.000 0.500
Ti: 0.000 0.500 0.000
Ti: 0.500 0.000 0.000
Ru: 0.500 0.500 0.500
Pt: 0.000 0.000 0.000

Values from the calculation:
Spin magnetization: 0.00 μB per cell
Energy of formation from the pure elements: 0.811 eV per atom
Space-group type: Pm-3m
DOS(E_F): 9.93 states/eV per cell

# 31
## YTiRuPt2 (GGA-PBEsol)

Data for a relaxed structure of YTiRuPt2.

Cell lengths 4.521, 4.521, 4.917 Å; angles 90.00, 90.00, 90.00 degrees
Fractional positions:
Y: 0.000 0.000 0.000
Ti: 0.000 0.000 0.500
Ru: 0.500 0.500 0.000
Pt: 0.000 0.500 0.500
Pt: 0.500 0.000 0.500

Values from the calculation:
Spin magnetization: 0.73 μB per cell
Energy of formation from the pure elements: 0.905 eV per atom
Space-group type: P4/mmm
DOS(E_F): 4.63 states/eV per cell